[1]
# PBE Sm4SbP2, optimized geometry
data_Sm4SbP2
_cell_length_a 4.190
_cell_length_b 13.515
_cell_length_c 13.774
_cell_angle_alpha 90.00
_cell_angle_beta 90.00
_cell_angle_gamma 90.00
_space_group_name_H-M_alt 'C m c m'
_space_group_IT_number 63
_space_group_name_Hall '-C 2c 2'
loop_
_atom_site_label
_atom_site_type_symbol
_atom_site_fract_x
_atom_site_fract_y
_atom_site_fract_z
Sm1 Sm 0.000 0.000 0.000
Sm2 Sm 0.000 0.266 0.116
Sm3 Sm 0.000 0.440 0.750
Sb1 Sb 0.000 0.108 0.750
P1 P 0.000 0.365 0.560
# Uncorrected formation energy: -1.27 eV per atom

[2]
# PBE MgAs2Cl, optimized geometry
data_MgAs2Cl
_cell_length_a 3.611
_cell_length_b 6.151
_cell_length_c 9.429
_cell_angle_alpha 90.00
_cell_angle_beta 90.00
_cell_angle_gamma 90.00
_space_group_name_H-M_alt 'C m m 2'
_space_group_IT_number 35
loop_
_space_group_symop_operation_xyz
'x,y,z'
'-x,-y,z'
'-x,y,z'
'x,-y,z'
'x+1/2,y+1/2,z'
'-x+1/2,-y+1/2,z'
'-x+1/2,y+1/2,z'
'x+1/2,-y+1/2,z'
loop_
_atom_site_label
_atom_site_type_symbol
_atom_site_fract_x
_atom_site_fract_y
_atom_site_fract_z
Mg1 Mg 0.000 0.000 0.000
As1 As 0.000 0.000 0.400
As2 As 0.000 0.500 0.220
Cl1 Cl 0.000 0.500 0.833
# Offset from the most stable computed form: 0.241 eV per atom
# Uncorrected formation energy: -0.35 eV per atom

[3]
# PBE Ti4MnZn, optimized geometry
data_Ti4MnZn
_cell_length_a 4.4623
_cell_length_b 4.4623
_cell_length_c 17.3322
_cell_angle_alpha 90.00
_cell_angle_beta 90.00
_cell_angle_gamma 120.00
_space_group_name_H-M_alt 'R -3 m'
_space_group_IT_number 166
_space_group_name_Hall '-R 3 2"'
loop_
_atom_site_label
_atom_site_type_symbol
_atom_site_fract_x
_atom_site_fract_y
_atom_site_fract_z
Ti1 Ti 0.0000 0.0000 0.1239
Ti2 Ti 0.0000 0.0000 0.2945
Mn1 Mn 0.0000 0.0000 0.0000
Zn1 Zn 0.0000 0.0000 0.5000
# Offset from the most stable computed form: 0.280 eV per atom
# E_form: 0.1315 eV per atom

[4]
# PBE BeRuSe2, optimized geometry
data_BeRuSe2
_cell_length_a 4.367
_cell_length_b 3.287
_cell_length_c 4.800
_cell_angle_alpha 90.00
_cell_angle_beta 106.04
_cell_angle_gamma 90.00
_space_group_name_H-M_alt 'P 1 2/m 1'
_space_group_IT_number 10
loop_
_space_group_symop_operation_xyz
'x,y,z'
'-x,-y,-z'
'-x,y,-z'
'x,-y,z'
loop_
_atom_site_label
_atom_site_type_symbol
_atom_site_fract_x
_atom_site_fract_y
_atom_site_fract_z
Be1 Be 0.000 0.000 0.000
Ru1 Ru 0.500 0.000 0.500
Se1 Se 0.263 0.500 0.769
# Uncorrected formation energy: 0.32 eV per atom

[5]
# PBE Al2Ni17, optimized geometry
data_Al2Ni17
_cell_length_a 7.9985
_cell_length_b 7.9985
_cell_length_c 12.1809
_cell_angle_alpha 90.00
_cell_angle_beta 90.00
_cell_angle_gamma 120.00
_space_group_name_H-M_alt 'R -3 m'
_space_group_IT_number 166
_space_group_name_Hall '-R 3 2"'
loop_
_atom_site_label
_atom_site_type_symbol
_atom_site_fract_x
_atom_site_fract_y
_atom_site_fract_z
Al1 Al 0.0000 0.0000 0.1851
Ni1 Ni 0.0000 0.0000 0.4020
Ni2 Ni 0.0000 0.3132 0.5000
Ni3 Ni 0.0000 0.5000 0.0000
Ni4 Ni 0.0049 0.5025 0.6562
# E_form: 0.0353 eV per atom

[6]
# PBE YV3As, optimized geometry
data_YV3As
_cell_length_a 4.787
_cell_length_b 4.787
_cell_length_c 4.787
_cell_angle_alpha 90.00
_cell_angle_beta 90.00
_cell_angle_gamma 90.00
_space_group_name_H-M_alt 'P m -3 m'
_space_group_IT_number 221
_space_group_name_Hall '-P 4 2 3'
loop_
_atom_site_label
_atom_site_type_symbol
_atom_site_fract_x
_atom_site_fract_y
_atom_site_fract_z
Y1 Y 0.000 0.000 0.000
V1 V 0.000 0.000 0.500
As1 As 0.500 0.500 0.500
# Offset from the most stable computed form: 1.594 eV per atom
# E_form: 2.0015 eV per atom

[7]
# PBE MgZn2Pb, optimized geometry
data_MgZn2Pb
_cell_length_a 3.877
_cell_length_b 4.613
_cell_length_c 9.659
_cell_angle_alpha 90.00
_cell_angle_beta 90.00
_cell_angle_gamma 90.00
_space_group_name_H-M_alt 'I m m 2'
_space_group_IT_number 44
loop_
_space_group_symop_operation_xyz
'x,y,z'
'-x,-y,z'
'-x,y,z'
'x,-y,z'
'x+1/2,y+1/2,z+1/2'
'-x+1/2,-y+1/2,z+1/2'
'-x+1/2,y+1/2,z+1/2'
'x+1/2,-y+1/2,z+1/2'
loop_
_atom_site_label
_atom_site_type_symbol
_atom_site_fract_x
_atom_site_fract_y
_atom_site_fract_z
Mg1 Mg 0.000 0.000 0.000
Zn1 Zn 0.000 0.000 0.527
Zn2 Zn 0.000 0.500 0.222
Pb1 Pb 0.000 0.500 0.773
# Offset from the most stable computed form: 0.038 eV per atom
# E_form: 0.0790 eV per atom

[8]
# PBE Er6Ir2Ru, optimized geometry
data_Er6Ir2Ru
_cell_length_a 6.592
_cell_length_b 7.237
_cell_length_c 11.242
_cell_angle_alpha 90.00
_cell_angle_beta 123.11
_cell_angle_gamma 90.00
_space_group_name_H-M_alt 'P 1 21/c 1'
_space_group_IT_number 14
loop_
_space_group_symop_operation_xyz
'x,y,z'
'-x,-y,-z'
'-x,y+1/2,-z+1/2'
'x,-y+1/2,z+1/2'
loop_
_atom_site_label
_atom_site_type_symbol
_atom_site_fract_x
_atom_site_fract_y
_atom_site_fract_z
Er1 Er 0.079 0.038 0.242
Er2 Er 0.228 0.667 0.074
Er3 Er 0.393 0.172 0.069
Ir1 Ir 0.318 0.133 0.779
Ru1 Ru 0.500 0.000 0.500
# Offset from the most stable computed form: 0.040 eV per atom
# E_form: -0.5687 eV per atom

no.,Fermi-level density of states (states/eV/cell),mass density (Mg/m³)
1,18.580,6.69
2,4.437,3.32
3,24.699,5.20
4,2.044,6.72
5,87.478,7.76
6,8.099,4.79
7,2.819,6.97
8,12.766,11.01